*w*
## HoInPd6 (PBE)

Data for a relaxed structure of HoInPd6.

Lattice parameters (Å, degrees): 4.0761 4.0761 8.1618 90.00 90.00 90.00
Space group P4/mmm (No. 123)
Symmetry-distinct sites (fractional):
1 Ho 0.0000 0.0000 0.0000
2 In 0.0000 0.0000 0.5000
3 Pd 0.0000 0.5000 0.2552
4 Pd 0.5000 0.5000 0.0000
5 Pd 0.5000 0.5000 0.5000

---

*x*
## HoInPd6 (PBE)

Data for a relaxed structure of HoInPd6.

Lattice parameters (Å, degrees): 8.2680 5.4128 7.2951 90.00 108.16 90.00
Space group C2/m (No. 12)
Symmetry-distinct sites (fractional):
1 Ho 0.0000 0.0000 0.0000
2 In 0.0000 0.5000 0.5000
3 Pd 0.1410 0.0000 0.4357
4 Pd 0.2009 0.2413 0.7985

---

Most stable pick: *w*. Distance to second place: 30.1 kJ/mol of atoms.

---

*w*
## Ho2In3Pd7 (PBE)

Data for a relaxed structure of Ho2In3Pd7.

Lattice parameters (Å, degrees): 4.8565 20.9904 4.7734 90.00 90.00 90.00
Space group Cmmm (No. 65)
Symmetry-distinct sites (fractional):
1 Ho 0.0000 0.1448 0.0000
2 In 0.0000 0.3462 0.5000
3 In 0.0000 0.5000 0.5000
4 Pd 0.0000 0.0000 0.0000
5 Pd 0.0000 0.0714 0.5000
6 Pd 0.0000 0.2846 0.0000
7 Pd 0.0000 0.4297 0.0000

---

*x*
## Ho2In3Pd7 (PBE)

Data for a relaxed structure of Ho2In3Pd7.

Lattice parameters (Å, degrees): 4.8359 4.6050 11.2039 90.00 102.44 90.00
Space group P2/m (No. 10)
Symmetry-distinct sites (fractional):
1 Ho 0.1530 0.0000 0.3056
2 In 0.0000 0.0000 0.0000
3 In 0.3576 0.5000 0.7159
4 Pd 0.0720 0.5000 0.1448
5 Pd 0.2852 0.0000 0.5710
6 Pd 0.4297 0.0000 0.8581
7 Pd 0.5000 0.5000 0.0000

---

Most stable pick: *x*. Distance to second place: 0.5 kJ/mol of atoms.

---

*w*
## Ho2InPd (PBE)

Data for a relaxed structure of Ho2InPd.

Lattice parameters (Å, degrees): 3.5072 3.5072 7.7447 90.00 90.00 90.00
Space group P4/mmm (No. 123)
Symmetry-distinct sites (fractional):
1 Ho 0.0000 0.0000 0.2230
2 In 0.5000 0.5000 0.5000
3 Pd 0.5000 0.5000 0.0000

---

*x*
## Ho2InPd (PBE)

Data for a relaxed structure of Ho2InPd.

Lattice parameters (Å, degrees): 3.7645 3.7645 25.6825 90.00 90.00 120.00
Space group R-3m (No. 166, hexagonal axes)
Symmetry-distinct sites (fractional):
1 Ho 0.0000 0.0000 0.2379
2 In 0.0000 0.0000 0.0000
3 Pd 0.0000 0.0000 0.5000

---

Most stable pick: *w*. Distance to second place: 17.3 kJ/mol of atoms.

---

*w*
## HoTmInPd (PBE)

Data for a relaxed structure of HoTmInPd.

Lattice parameters (Å, degrees): 3.4922 3.4922 7.7188 90.00 90.00 90.00
Space group P4mm (No. 99)
Symmetry-distinct sites (fractional):
1 Ho 0.0000 0.0000 0.0000
2 Tm 0.0000 0.0000 0.5547
3 In 0.5000 0.5000 0.2792
4 Pd 0.5000 0.5000 0.7708

---

*x*
## HoTmInPd (PBE)

Data for a relaxed structure of HoTmInPd.

Lattice parameters (Å, degrees): 7.2318 7.2318 7.2318 90.00 90.00 90.00
Space group F-43m (No. 216)
Symmetry-distinct sites (fractional):
1 Ho 0.0000 0.0000 0.0000
2 Tm 0.0000 0.0000 0.5000
3 In 0.2500 0.2500 0.2500
4 Pd 0.2500 0.2500 0.7500

---

Most stable pick: *w*. Distance to second place: 7.7 kJ/mol of atoms.

---

*w*
## Pm2Ho3In (PBE)

Data for a relaxed structure of Pm2Ho3In.

Lattice parameters (Å, degrees): 3.4335 17.4783 6.4412 90.00 90.00 90.00
Space group Imm2 (No. 44)
Symmetry-distinct sites (fractional):
1 Pm 0.0000 0.1878 0.0000
2 Ho 0.0000 0.1368 0.4946
3 Ho 0.0000 0.5000 0.7063
4 In 0.0000 0.0000 0.7821

---

*x*
## Pm2Ho3In (PBE)

Data for a relaxed structure of Pm2Ho3In.

Lattice parameters (Å, degrees): 4.8747 15.1779 4.9146 90.00 90.00 90.00
Space group Cmmm (No. 65)
Symmetry-distinct sites (fractional):
1 Pm 0.0000 0.1618 0.0000
2 Ho 0.0000 0.0000 0.5000
3 Ho 0.0000 0.3352 0.5000
4 In 0.0000 0.5000 0.0000

---

Most stable pick: *x*. Distance to second place: 24.2 kJ/mol of atoms.

---

*w*
## PmHo4In3 (PBE)

Data for a relaxed structure of PmHo4In3.

Lattice parameters (Å, degrees): 3.4831 8.7697 15.2838 90.00 90.00 90.00
Space group Immm (No. 71)
Symmetry-distinct sites (fractional):
1 Pm 0.0000 0.0000 0.0000
2 Ho 0.0000 0.3024 0.1408
3 In 0.0000 0.0000 0.5000
4 In 0.0000 0.5000 0.3137

---

*x*
## PmHo4In3 (PBE)

Data for a relaxed structure of PmHo4In3.

Lattice parameters (Å, degrees): 5.3468 5.3468 27.3788 90.00 90.00 120.00
Space group R-3m (No. 166, hexagonal axes)
Symmetry-distinct sites (fractional):
1 Pm 0.0000 0.0000 0.0000
2 Ho 0.0000 0.0000 0.1296
3 Ho 0.0000 0.0000 0.3876
4 In 0.0000 0.0000 0.2628
5 In 0.0000 0.0000 0.5000

---

Most stable pick: *x*. Distance to second place: 8.9 kJ/mol of atoms.

---

*w*
## PmHo4In (PBE)

Data for a relaxed structure of PmHo4In.

Lattice parameters (Å, degrees): 5.4860 6.8199 9.6254 90.00 90.00 90.00
Space group Pmmn (No. 59, origin choice 2)
Symmetry-distinct sites (fractional):
1 Pm 0.2500 0.2500 0.0728
2 Ho 0.2500 0.2500 0.4189
3 Ho 0.2500 0.5044 0.7438
4 Ho 0.2500 0.7500 0.1107
5 In 0.2500 0.7500 0.4305

---

*x*
## PmHo4In (PBE)

Data for a relaxed structure of PmHo4In.

Lattice parameters (Å, degrees): 3.5718 3.5718 14.2312 90.00 90.00 90.00
Space group P4/mmm (No. 123)
Symmetry-distinct sites (fractional):
1 Pm 0.0000 0.0000 0.0000
2 Ho 0.0000 0.0000 0.3533
3 Ho 0.5000 0.5000 0.1788
4 In 0.5000 0.5000 0.5000

---

Most stable pick: *x*. Distance to second place: 2.2 kJ/mol of atoms.

---

*w*
## PmHoIn4 (PBE)

Data for a relaxed structure of PmHoIn4.

Lattice parameters (Å, degrees): 5.0238 7.1137 8.7354 90.00 90.00 90.00
Space group Immm (No. 71)
Symmetry-distinct sites (fractional):
1 Pm 0.0000 0.0000 0.0000
2 Ho 0.0000 0.5000 0.0000
3 In 0.0000 0.2355 0.3336

---

*x*
## PmHoIn4 (PBE)

Data for a relaxed structure of PmHoIn4.

Lattice parameters (Å, degrees): 8.5208 8.5208 8.5208 90.00 90.00 90.00
Space group F-43m (No. 216)
Symmetry-distinct sites (fractional):
1 Pm 0.0000 0.0000 0.0000
2 Ho 0.2500 0.2500 0.2500
3 In 0.1250 0.1250 0.6250

---

*y*
## PmHoIn4 (PBE)

Data for a relaxed structure of PmHoIn4.

Lattice parameters (Å, degrees): 4.9502 5.2966 12.2426 90.00 90.00 90.00
Space group Cmmm (No. 65)
Symmetry-distinct sites (fractional):
1 Pm 0.0000 0.0000 0.0000
2 Ho 0.0000 0.5000 0.5000
3 In 0.0000 0.0000 0.3300
4 In 0.0000 0.5000 0.1791

---

Most stable pick: *w*. Distance to second place: 5.4 kJ/mol of atoms.

---

*w*
## Pm5Ho2In4 (PBE)

Data for a relaxed structure of Pm5Ho2In4.

Lattice parameters (Å, degrees): 3.4747 8.7708 28.9249 90.00 90.00 90.00
Space group Immm (No. 71)
Symmetry-distinct sites (fractional):
1 Pm 0.0000 0.0000 0.0000
2 Pm 0.0000 0.3015 0.3000
3 Ho 0.0000 0.5000 0.4039
4 In 0.0000 0.1753 0.5000
5 In 0.0000 0.5000 0.1982

---

*x*
## Pm5Ho2In4 (PBE)

Data for a relaxed structure of Pm5Ho2In4.

Lattice parameters (Å, degrees): 8.7555 3.4378 10.6982 90.00 95.50 90.00
Space group P2/m (No. 10)
Symmetry-distinct sites (fractional):
1 Pm 0.0000 0.0000 0.0000
2 Pm 0.0386 0.0000 0.3347
3 Pm 0.3412 0.0000 0.8587
4 Ho 0.4181 0.0000 0.3619
5 In 0.2574 0.5000 0.5760
6 In 0.2997 0.5000 0.1239

---

Most stable pick: *x*. Distance to second place: 58.1 kJ/mol of atoms.

---

*w*
## PmHo3In3 (PBE)

Data for a relaxed structure of PmHo3In3.

Lattice parameters (Å, degrees): 9.3287 9.3287 9.3287 90.00 90.00 90.00
Space group P2_13 (No. 198)
Symmetry-distinct sites (fractional):
1 Pm 0.0512 0.4488 0.5512
2 Ho 0.1138 0.6138 0.8862
3 Ho 0.1686 0.1686 0.1686
4 Ho 0.1981 0.8019 0.3019
5 In 0.0055 0.7959 0.6018

---

*x*
## PmHo3In3 (PBE)

Data for a relaxed structure of PmHo3In3.

Lattice parameters (Å, degrees): 9.3930 9.3930 5.1604 90.00 90.00 120.00
Space group P6_3/m (No. 176)
Symmetry-distinct sites (fractional):
1 Pm 0.3333 0.6667 0.2500
2 Ho 0.0006 0.2317 0.2500
3 In 0.0698 0.4523 0.7500

---

Most stable pick: *x*. Distance to second place: 4.0 kJ/mol of atoms.

---

*w*
## Pm2Ho8In (PBE)

Data for a relaxed structure of Pm2Ho8In.

Lattice parameters (Å, degrees): 5.4172 7.5671 17.1095 90.00 90.00 90.00
Space group Immm (No. 71)
Symmetry-distinct sites (fractional):
1 Pm 0.0000 0.0000 0.1936
2 Ho 0.0000 0.2406 0.0000
3 Ho 0.0000 0.2695 0.3631
4 Ho 0.0000 0.5000 0.1788
5 In 0.0000 0.0000 0.5000

---

*x*
## Pm2Ho8In (PBE)

Data for a relaxed structure of Pm2Ho8In.

Lattice parameters (Å, degrees): 17.9834 4.9412 7.8566 90.00 105.27 90.00
Space group C2/m (No. 12)
Symmetry-distinct sites (fractional):
1 Pm 0.2222 0.0000 0.1350
2 Ho 0.0441 0.0000 0.2247
3 Ho 0.0891 0.5000 0.9438
4 Ho 0.1336 0.0000 0.6742
5 Ho 0.1803 0.5000 0.4090
6 In 0.0000 0.5000 0.5000

---

Most stable pick: *x*. Distance to second place: 6.4 kJ/mol of atoms.